## BaTcRh2 (GGA-PBE)

Data for a relaxed BaTcRh2 crystal.

Geometry as POSCAR:
```
BaTcRh2
1.0
-4.295 -1.317 1.827
-3.119 3.379 1.539
-4.065 0.865 -2.498
Rh Ba Tc
2 1 1
direct
0.250 0.250 0.250
0.750 0.750 0.750
0.500 0.500 0.500
0.000 0.000 0.000
```

The excess energy over the best structure of this formula in the dataset is 572 meV/atom. For the formation energy from the elements, the calculation gives 0.7361 eV per atom. For the volume, the calculation gives 20.16 Å³/atom.